# CsEuMo2O8 | the Alexandria database | PBE+U | optimized geometry
data_CsEuMo2O8
_chemical_formula_sum 'Cs2 Eu2 Mo4 O16'
_space_group_name_H-M_alt 'P 1'
_space_group_IT_number 1
_cell_length_a 7.739
_cell_length_b 7.739
_cell_length_c 7.939
_cell_angle_alpha 62.15
_cell_angle_beta 62.15
_cell_angle_gamma 88.71
loop_
_space_group_symop_operation_xyz
'x,y,z'
loop_
_atom_site_label
_atom_site_type_symbol
_atom_site_fract_x
_atom_site_fract_y
_atom_site_fract_z
_atom_site_occupancy
O1 O 0.783 0.938 0.207 1
O2 O 0.755 0.614 0.573 1
O3 O 0.245 0.386 0.427 1
O4 O 0.619 0.926 0.634 1
O5 O 0.926 0.619 0.134 1
O6 O 0.217 0.062 0.793 1
O7 O 0.386 0.245 0.927 1
O8 O 0.417 0.627 0.531 1
O9 O 0.062 0.217 0.293 1
O10 O 0.583 0.373 0.469 1
O11 O 0.074 0.381 0.866 1
O12 O 0.373 0.583 0.969 1
O13 O 0.627 0.417 0.031 1
O14 O 0.381 0.074 0.366 1
O15 O 0.938 0.783 0.707 1
O16 O 0.614 0.755 0.073 1
Mo1 Mo 0.309 0.309 0.231 1
Mo2 Mo 0.309 0.309 0.731 1
Mo3 Mo 0.691 0.691 0.269 1
Mo4 Mo 0.691 0.691 0.769 1
Eu1 Eu 0.771 0.229 0.250 1
Eu2 Eu 0.229 0.771 0.750 1
Cs1 Cs 0.193 0.807 0.250 1
Cs2 Cs 0.807 0.193 0.750 1
# **Magnetic moment**: 6.0 μB/f.u.
# **Electronic total energy**: -7.368 eV per atom